[1]
Here is crystalline La2ZnCo3Ge4 at its relaxed geometry from Alexandria via LeMat-Bulk. Energies are from PBE.

Output
SG: P-4m2
Calculated total energy: -5.63 eV/atom
Mass density: 7595 kg/m³

```
La2ZnCo3Ge4
1.0
-2.633 3.093 1.126
-2.550 -1.004 -3.203
-4.927 -6.346 5.911
Co Ge Zn La
3 4 1 2
Cartesian
-2.463 -3.173 2.956
-5.658 -4.047 5.773
-1.859 -1.255 -0.900
0.000 0.000 0.000
-2.591 1.045 -1.038
-4.481 -2.530 4.361
-3.036 -2.771 0.512
-5.055 -2.129 1.917
-5.009 -5.312 2.879
-2.509 0.011 1.994
```

=====

[2]
Here is crystalline LaZn2Co2Ge at its relaxed geometry from Alexandria via LeMat-Bulk. Energies are from PBE.

Output
SG: P4/mmm
Calculated total energy: -4.49 eV/atom
Mass density: 6848 kg/m³

```
LaZn2Co2Ge
1.0
-0.715 3.391 2.670
-3.563 -1.991 1.576
3.247 -2.554 4.114
Ge Co Zn La
1 2 2 1
Cartesian
0.000 0.000 0.000
-1.781 -0.996 0.788
-0.357 1.696 1.335
-1.326 0.060 3.153
0.295 -1.215 5.206
1.624 -1.277 2.057
```

=====

[3]
Here is crystalline LiCo2Ge2 at its relaxed geometry from Alexandria via LeMat-Bulk. Energies are from PBE.

Output
SG: Pmma
Calculated total energy: -5.30 eV/atom
Mass density: 6871 kg/m³

```
LiCo2Ge2
1.0
-2.435 2.898 1.115
-3.459 -3.392 1.262
2.488 -0.262 6.116
Ge Co Li
4 4 2
Cartesian
-0.087 0.391 5.777
-1.043 -2.707 4.760
-3.319 -1.147 2.715
0.072 -0.947 2.618
-1.707 -1.317 6.678
0.027 1.318 3.616
-1.703 -0.378 4.246
-1.699 0.561 1.815
-1.730 -1.696 0.631
0.000 0.000 0.000
```

=====

[4]
Here is crystalline LiCo2Ge2 at its relaxed geometry from Alexandria via LeMat-Bulk. Energies are from PBE.

Output
SG: I4/mmm
Calculated total energy: -5.28 eV/atom
Mass density: 6007 kg/m³

```
LiCo2Ge2
1.0
3.822 0.000 0.000
0.000 3.822 0.000
1.911 1.911 5.112
Ge Co Li
2 2 1
Cartesian
3.822 3.822 3.856
1.911 1.911 1.256
3.822 1.911 2.556
1.911 3.822 2.556
0.000 0.000 0.000
```

=====

[5]
Here is crystalline LiCo6Ge6 at its relaxed geometry from Alexandria via LeMat-Bulk. Energies are from PBE.

Output
SG: Immm
Calculated total energy: -5.82 eV/atom
Mass density: 7820 kg/m³
Energy relative to the lowest polymorph listed for this composition: 0 meV/atom

```
LiCo6Ge6
1.0
-4.419 -0.971 -2.253
-3.638 -4.067 3.218
-4.807 3.445 2.272
Co Ge Li
6 6 1
Cartesian
-1.819 -2.033 1.609
-4.613 1.237 0.009
-2.403 1.723 1.136
-4.028 -2.519 0.482
-6.719 1.048 1.386
-6.145 -2.641 1.851
-4.417 0.943 2.587
-4.027 -1.565 2.903
-2.864 -0.429 0.132
-9.999 -1.164 3.105
-5.744 -0.856 0.295
-7.120 -0.737 2.942
0.000 0.000 0.000
```

=====

[6]
Here is crystalline LiCoGe3 at its relaxed geometry from Alexandria via LeMat-Bulk. Energies are from PBE.

Output
SG: P2_1/m
Calculated total energy: -4.73 eV/atom
Mass density: 5825 kg/m³
Energy relative to the lowest polymorph listed for this composition: 0 meV/atom

```
LiCoGe3
1.0
5.354 -0.002 0.535
0.132 5.231 -1.318
-0.668 -3.854 6.691
Ge Li Co
6 2 2
Cartesian
1.233 1.727 1.198
3.655 2.381 4.017
3.585 -0.351 4.710
1.163 -1.006 1.890
0.988 0.897 3.643
3.830 0.478 2.265
3.980 2.878 0.756
0.838 -1.503 5.152
0.000 0.000 0.000
2.677 -0.001 0.267
```

=====

[7]
Here is crystalline LiCo6Ge6 at its relaxed geometry from Alexandria via LeMat-Bulk. Energies are from PBE.

Output
SG: P6/mmm
Calculated total energy: -5.82 eV/atom
Mass density: 7821 kg/m³
Energy relative to the lowest polymorph listed for this composition: 4 meV/atom

```
LiCo6Ge6
1.0
5.044 0.000 0.000
-2.522 4.368 0.000
0.000 0.000 7.673
Ge Co Li
6 6 1
Cartesian
2.522 1.456 3.837
0.000 2.912 0.000
0.000 2.912 3.837
2.522 1.456 0.000
0.000 0.000 5.133
0.000 0.000 2.541
2.522 0.000 5.757
1.261 2.184 1.916
-1.261 2.184 1.916
1.261 2.184 5.757
2.522 0.000 1.916
-1.261 2.184 5.757
0.000 0.000 0.000
```

=====

[8]
Here is crystalline Li2CoGe at its relaxed geometry from Alexandria via LeMat-Bulk. Energies are from PBE.

Output
SG: I-42d
Calculated total energy: -3.76 eV/atom
Mass density: 4279 kg/m³

```
Li2CoGe
1.0
6.949 0.000 0.000
0.000 6.949 0.000
3.474 3.474 2.338
Co Li Ge
2 4 2
Cartesian
3.474 3.474 0.000
3.474 6.949 1.169
5.211 5.317 1.753
5.106 1.737 0.584
8.686 8.580 1.753
1.843 5.211 0.584
6.949 3.474 1.169
0.000 0.000 0.000
```

=====

[9]
Here is crystalline LiCoGe at its relaxed geometry from Alexandria via LeMat-Bulk. Energies are from PBE.

Output
SG: P2_1/m
Calculated total energy: -4.86 eV/atom
Mass density: 5161 kg/m³

```
LiCoGe
1.0
-1.162 -3.576 0.620
3.613 -1.079 0.554
-0.556 1.211 5.989
Co Li Ge
2 2 2
Cartesian
1.197 -2.516 1.462
-0.028 -0.189 0.875
-0.983 -1.168 5.197
1.595 -0.326 3.127
1.344 0.216 5.829
-0.730 -1.709 2.497
```

=====

[10]
Here is crystalline LiCo2Ge2 at its relaxed geometry from Alexandria via LeMat-Bulk. Energies are from PBE.

Output
SG: I4/mmm
Calculated total energy: -5.07 eV/atom
Mass density: 5958 kg/m³

```
LiCo2Ge2
1.0
-1.703 0.496 -3.618
2.913 -2.222 -1.676
-1.928 -4.689 -1.979
Ge Co Li
2 2 1
Cartesian
0.795 -3.887 -3.151
-1.513 -2.528 -4.122
0.014 -1.756 -2.491
-0.731 -4.658 -4.782
0.000 0.000 0.000
```

=====

[11]
Here is crystalline LiCoGe at its relaxed geometry from Alexandria via LeMat-Bulk. Energies are from PBE.

Output
SG: P3m1
Calculated total energy: -4.69 eV/atom
Mass density: 5923 kg/m³

```
LiCoGe
1.0
2.774 0.000 0.000
0.000 4.021 0.000
0.000 -2.010 3.482
Co Li Ge
1 1 1
Cartesian
2.451 0.000 0.000
0.953 2.010 1.161
2.144 0.000 2.321
```

=====

[12]
Here is crystalline LiCo5Ge6 at its relaxed geometry from Alexandria via LeMat-Bulk. Energies are from PBE.

Output
SG: C2/m
Calculated total energy: -5.48 eV/atom
Mass density: 7382 kg/m³

```
LiCo5Ge6
1.0
6.613 0.041 0.000
1.960 4.607 0.000
0.980 2.304 5.459
Co Ge Li
5 6 1
Cartesian
4.286 2.324 4.160
1.960 4.607 3.417
0.980 2.304 2.042
5.266 4.628 1.299
4.286 2.324 0.000
6.205 3.669 3.416
5.226 1.366 2.043
4.327 5.586 3.416
6.487 3.063 0.000
3.347 3.283 2.043
2.086 1.585 0.000
0.000 0.000 0.000
```

=====

[13]
Here is crystalline LiCoGe3 at its relaxed geometry from Alexandria via LeMat-Bulk. Energies are from PBE.

Output
SG: Pm-3m
Calculated total energy: -4.43 eV/atom
Mass density: 4892 kg/m³
Energy relative to the lowest polymorph listed for this composition: 306 meV/atom

```
LiCoGe3
1.0
4.584 0.000 0.000
0.000 4.584 0.000
0.000 0.000 4.584
Ge Co Li
3 1 1
Cartesian
0.000 0.000 2.292
2.292 0.000 0.000
0.000 2.292 0.000
0.000 0.000 0.000
2.292 2.292 2.292
```

=====

[14]
Here is crystalline Li2Co3Ge4 at its relaxed geometry from Alexandria via LeMat-Bulk. Energies are from PBE.

Output
SG: Fmmm
Calculated total energy: -4.96 eV/atom
Mass density: 5970 kg/m³

```
Li2Co3Ge4
1.0
5.027 -0.013 0.000
-2.348 4.445 0.000
-1.340 -2.216 5.999
Ge Li Co
4 2 3
Cartesian
3.767 0.749 1.879
-2.427 1.467 4.120
2.427 -1.467 4.120
-1.088 3.683 1.879
1.340 2.216 1.342
0.000 0.000 4.657
-1.174 2.222 0.000
2.513 -0.007 0.000
0.000 0.000 0.000
```

=====

[15]
Here is crystalline LiCoGe at its relaxed geometry from Alexandria via LeMat-Bulk. Energies are from PBE.

Output
SG: P-1
Calculated total energy: -4.83 eV/atom
Mass density: 5628 kg/m³

```
LiCoGe
1.0
3.884 0.002 0.000
0.000 3.882 0.000
-1.954 3.874 5.421
Co Ge Li
2 2 2
Cartesian
2.533 2.098 0.659
0.590 4.038 0.787
2.532 4.039 2.043
-1.363 5.971 4.825
0.578 4.032 4.342
0.591 2.095 2.526
```

=====

[16]
Here is crystalline LiCo5Ge4 at its relaxed geometry from Alexandria via LeMat-Bulk. Energies are from PBE.

Output
SG: Pmmn
Calculated total energy: -5.61 eV/atom
Mass density: 7287 kg/m³

```
LiCo5Ge4
1.0
-0.326 -0.380 4.133
-6.699 -5.329 -1.018
4.696 -5.870 -0.171
Co Ge Li
10 8 2
Cartesian
-3.539 -6.024 0.177
-1.951 -8.009 0.120
-1.119 -2.606 2.855
1.990 -6.492 2.742
-0.208 -3.374 0.684
-1.378 -9.171 2.231
1.380 -5.358 0.626
2.206 -3.101 1.718
-3.533 -2.879 1.821
-4.486 -5.285 2.343
0.418 -4.560 2.680
-2.896 -7.196 2.176
-5.129 -4.113 0.345
-1.745 -1.421 0.859
2.943 -4.432 3.841
0.427 -7.418 -0.473
1.130 -2.167 3.907
-2.457 -3.813 -0.368
-1.114 -5.732 0.840
-0.213 -0.248 2.699
```

=====

[17]
Here is crystalline LiCo5Ge3 at its relaxed geometry from Alexandria via LeMat-Bulk. Energies are from PBE.

Output
SG: P6_3/mcm
Calculated total energy: -5.85 eV/atom
Mass density: 8152 kg/m³

```
LiCo5Ge3
1.0
-4.405 2.328 -0.423
-3.287 -6.161 0.320
1.321 3.566 5.866
Ge Li Co
6 2 10
Cartesian
-2.271 -1.611 0.008
-2.367 -1.090 3.879
-5.421 -2.222 -0.111
-4.004 0.822 1.885
-3.918 -4.310 2.302
-2.453 4.043 3.461
0.000 0.000 0.000
-2.203 1.164 -0.212
-3.355 -3.644 0.114
-0.195 3.028 3.917
-1.719 -0.233 1.838
-0.215 0.323 4.017
-1.751 -2.919 2.169
-2.889 2.866 1.526
-4.337 -0.190 -0.217
-4.652 -0.034 3.926
-2.418 1.487 3.806
-3.953 -1.755 1.957
```

=====

[18]
Here is crystalline Li3Co4Ge4 at its relaxed geometry from Alexandria via LeMat-Bulk. Energies are from PBE.

Output
SG: I-43m
Calculated total energy: -5.03 eV/atom
Mass density: 5174 kg/m³

```
Li3Co4Ge4
1.0
6.110 0.000 0.000
-2.037 5.761 0.000
-2.037 -2.880 4.989
Li Ge Co
3 4 4
Cartesian
2.037 2.880 0.000
-2.037 1.440 2.494
2.037 -1.440 2.494
0.782 1.106 1.916
3.763 0.000 0.000
-1.254 -1.774 3.073
-1.254 3.548 0.000
-0.514 1.452 0.000
1.541 0.000 0.000
1.523 2.154 3.731
-0.514 -0.726 1.258
```

=====

[19]
Here is crystalline LiLuCoGe at its relaxed geometry from Alexandria via LeMat-Bulk. Energies are from PBE.

Output
SG: F-43m
Calculated total energy: -4.92 eV/atom
Mass density: 8693 kg/m³

```
LiLuCoGe
1.0
4.391 0.000 0.000
2.196 3.803 0.000
2.196 1.268 3.586
Li Co Lu Ge
1 1 1 1
Cartesian
4.391 2.535 1.793
0.000 0.000 0.000
6.587 3.803 2.689
2.196 1.268 0.896
```

=====

[20]
Here is crystalline Li2CoGeN at its relaxed geometry from Alexandria via LeMat-Bulk. Energies are from PBE.

Output
SG: P4/mmm
Calculated total energy: -5.02 eV/atom
E_form (uncorrected): -0.25 eV per atom
Mass density: 4539 kg/m³

```
Li2CoGeN
1.0
4.073 0.000 0.000
0.000 4.073 0.000
0.000 0.000 3.516
Ge Co Li N
1 1 2 1
Cartesian
2.037 2.037 1.758
0.000 0.000 1.758
2.037 0.000 0.000
0.000 2.037 0.000
0.000 0.000 0.000
```